Computed, not measured: a geometry-optimized CaHgI2N structure at the PBE level of DFT. Values from VASP.

Values from the calculation:
Energy relative to the elements, uncorrected in kJ/mol of atoms: 22.9
Space group: P4/mmm

Cell and atoms, written as Quantum ESPRESSO input:
```
&SYSTEM
  ibrav = 0, nat = 5, ntyp = 4
/
ATOMIC_SPECIES
Ca 40.08 Ca.upf
I 126.90 I.upf
Hg 200.59 Hg.upf
N 14.01 N.upf
CELL_PARAMETERS angstrom
6.3078 0.0000 0.0000
0.0000 6.3078 0.0000
0.0000 0.0000 4.0741
ATOMIC_POSITIONS crystal
Ca 0.5000 0.5000 0.5000
I 0.5000 0.0000 0.0000
Hg 0.0000 0.0000 0.0000
N 0.0000 0.0000 0.5000
I 0.0000 0.5000 0.0000
```

***

Computed, not measured: a geometry-optimized Cr2CuHg2 structure at the PBE level of DFT. Values from VASP.

Values from the calculation:
ΔH_f (0 K) in eV per formula unit: 3.551
Space group: P4/mbm

Cell and atoms, written as Quantum ESPRESSO input:
```
&SYSTEM
  ibrav = 0, nat = 10, ntyp = 3
/
ATOMIC_SPECIES
Hg 200.59 Hg.upf
Cr 52.00 Cr.upf
Cu 63.55 Cu.upf
CELL_PARAMETERS angstrom
-1.3774 -7.4313 0.1847
7.2201 -1.2927 1.8317
-0.7317 0.2110 3.0332
ATOMIC_POSITIONS crystal
Hg 0.7958 0.7042 0.0000
Hg 0.2958 0.7958 0.0000
Cr 0.4140 0.0860 0.5000
Cu 0.5000 0.5000 0.0000
Cr 0.0860 0.5860 0.5000
Hg 0.2042 0.2958 0.0000
Cr 0.9140 0.4140 0.5000
Cr 0.5860 0.9140 0.5000
Hg 0.7042 0.2042 0.0000
Cu 0.0000 0.0000 0.0000
```

***

Computed, not measured: a geometry-optimized CdTe2H2 structure at the PBE level of DFT. Values from VASP.

Values from the calculation:
Space group: I4/mmm

Cell and atoms, written as Quantum ESPRESSO input:
```
&SYSTEM
  ibrav = 0, nat = 5, ntyp = 3
/
ATOMIC_SPECIES
Te 127.60 Te.upf
H 1.01 H.upf
Cd 112.41 Cd.upf
CELL_PARAMETERS angstrom
-3.0356 -0.4393 2.1608
-0.9677 -3.0383 -1.9772
1.3637 -5.4025 4.0747
ATOMIC_POSITIONS crystal
Te 0.3546 0.3546 0.2908
H 0.7500 0.2500 0.5000
Te 0.6454 0.6454 0.7092
H 0.2500 0.7500 0.5000
Cd 0.0000 0.0000 0.0000
```

***

Computed, not measured: a geometry-optimized LiTi4Se8 structure at the PBE level of DFT. Values from VASP.

Values from the calculation:
Energy relative to the elements, uncorrected in kJ/mol of atoms: -108.1
Space group: F-43m

Cell and atoms, written as Quantum ESPRESSO input:
```
&SYSTEM
  ibrav = 0, nat = 13, ntyp = 3
/
ATOMIC_SPECIES
Ti 47.87 Ti.upf
Se 78.96 Se.upf
Li 6.94 Li.upf
CELL_PARAMETERS angstrom
-2.8317 5.1896 -4.5218
-5.4525 4.4586 2.4060
1.3741 7.2022 1.2798
ATOMIC_POSITIONS crystal
Ti 0.8880 0.3707 0.3707
Se 0.1271 0.6187 0.1271
Se 0.1271 0.1271 0.1271
Ti 0.3707 0.8880 0.3707
Ti 0.3707 0.3707 0.8880
Se 0.1473 0.6176 0.6176
Ti 0.3707 0.3707 0.3707
Se 0.6187 0.1271 0.1271
Se 0.1271 0.1271 0.6187
Se 0.6176 0.1473 0.6176
Se 0.6176 0.6176 0.1473
Li 0.7500 0.7500 0.7500
Se 0.6176 0.6176 0.6176
```

***

Computed, not measured: a geometry-optimized Ce2Cd3Hg2 structure at the PBE level of DFT. Values from VASP.

Values from the calculation:
ΔH_f (0 K) in eV per formula unit: -1.413
Space group: C2/m

Cell and atoms, written as Quantum ESPRESSO input:
```
&SYSTEM
  ibrav = 0, nat = 7, ntyp = 3
/
ATOMIC_SPECIES
Cd 112.41 Cd.upf
Ce 140.12 Ce.upf
Hg 200.59 Hg.upf
CELL_PARAMETERS angstrom
-1.3861 -1.3451 4.6143
5.7517 -1.0292 -1.2836
0.9868 6.1126 2.0783
ATOMIC_POSITIONS crystal
Cd 0.7335 0.4670 0.8418
Ce 0.5730 0.1459 0.3379
Cd 0.0000 0.0000 0.0000
Ce 0.4270 0.8541 0.6621
Hg 0.1327 0.2654 0.6278
Cd 0.2665 0.5330 0.1582
Hg 0.8673 0.7346 0.3722
```

***

Computed, not measured: a geometry-optimized Ti4BeB3 structure at the PBE level of DFT. Values from VASP.

Values from the calculation:
ΔH_f (0 K) in eV per formula unit: -4.890
Space group: Pmm2

Cell and atoms, written as Quantum ESPRESSO input:
```
&SYSTEM
  ibrav = 0, nat = 8, ntyp = 3
/
ATOMIC_SPECIES
Ti 47.87 Ti.upf
B 10.81 B.upf
Be 9.01 Be.upf
CELL_PARAMETERS angstrom
-0.1161 2.1490 2.5170
0.1868 -2.3686 2.0309
8.6262 0.5898 -0.1056
ATOMIC_POSITIONS crystal
Ti 0.5000 0.5000 0.3636
Ti 0.5000 0.0000 0.6428
B 0.0000 0.0000 0.4466
Be 0.5000 0.5000 0.0583
B 0.0000 0.5000 0.5603
Ti 0.0000 0.0000 0.1473
Ti 0.0000 0.5000 0.8525
B 0.5000 0.0000 0.9285
```

***

Computed, not measured: a geometry-optimized SiSbTe2 structure at the PBE level of DFT. Values from VASP.

Values from the calculation:
Energy relative to the elements, uncorrected in kJ/mol of atoms: 11.9
Space group: R3m

Cell and atoms, written as Quantum ESPRESSO input:
```
&SYSTEM
  ibrav = 0, nat = 4, ntyp = 3
/
ATOMIC_SPECIES
Te 127.60 Te.upf
Sb 121.76 Sb.upf
Si 28.09 Si.upf
CELL_PARAMETERS angstrom
-8.1629 -0.6365 0.7608
-7.5366 -0.6249 -3.2289
-7.0740 -4.0393 -1.1223
ATOMIC_POSITIONS crystal
Te 0.2381 0.2381 0.2381
Sb 0.4903 0.4903 0.4903
Te 0.0202 0.0202 0.0202
Si 0.7514 0.7514 0.7514
```

***

Computed, not measured: a geometry-optimized ZrBe3Os structure at the PBE level of DFT. Values from VASP.

Values from the calculation:
ΔH_f (0 K) in eV per formula unit: 0.707
Space group: Pm-3m

Cell and atoms, written as Quantum ESPRESSO input:
```
&SYSTEM
  ibrav = 0, nat = 5, ntyp = 3
/
ATOMIC_SPECIES
Be 9.01 Be.upf
Os 190.23 Os.upf
Zr 91.22 Zr.upf
CELL_PARAMETERS angstrom
4.1574 0.0000 0.0000
0.0000 4.1574 0.0000
0.0000 0.0000 4.1574
ATOMIC_POSITIONS crystal
Be 0.0000 0.5000 0.0000
Os 0.0000 0.0000 0.0000
Be 0.5000 0.0000 0.0000
Be 0.0000 0.0000 0.5000
Zr 0.5000 0.5000 0.5000
```

***

Computed, not measured: a geometry-optimized Tl2HgTeRh structure at the PBE level of DFT. Values from VASP.

Values from the calculation:
Energy relative to the elements, uncorrected in kJ/mol of atoms: -3.3
Space group: P4/mmm

Cell and atoms, written as Quantum ESPRESSO input:
```
&SYSTEM
  ibrav = 0, nat = 5, ntyp = 4
/
ATOMIC_SPECIES
Rh 102.91 Rh.upf
Te 127.60 Te.upf
Tl 204.38 Tl.upf
Hg 200.59 Hg.upf
CELL_PARAMETERS angstrom
-1.8716 3.2674 -3.8710
-1.4304 -4.2997 -2.9376
-4.6921 0.0070 2.2745
ATOMIC_POSITIONS crystal
Rh 0.0000 0.0000 0.0000
Te 0.0000 0.0000 0.5000
Tl 0.0000 0.5000 0.0000
Hg 0.5000 0.5000 0.5000
Tl 0.5000 0.0000 0.0000
```

***

Computed, not measured: a geometry-optimized Y2Co2Pd structure at the PBE level of DFT. Values from VASP.

Values from the calculation:
ΔH_f (0 K) in eV per formula unit: -1.161
Space group: I4/mmm

Cell and atoms, written as Quantum ESPRESSO input:
```
&SYSTEM
  ibrav = 0, nat = 5, ntyp = 3
/
ATOMIC_SPECIES
Co 58.93 Co.upf
Y 88.91 Y.upf
Pd 106.42 Pd.upf
CELL_PARAMETERS angstrom
3.4307 0.0000 0.0000
0.0000 3.4307 0.0000
1.7154 1.7154 8.2474
ATOMIC_POSITIONS crystal
Co 0.2500 0.7500 0.5000
Y 0.3911 0.3911 0.2178
Y 0.6089 0.6089 0.7822
Co 0.7500 0.2500 0.5000
Pd 0.0000 0.0000 0.0000
```

***

Computed, not measured: a geometry-optimized Pm5Pr2DyTh structure at the PBE level of DFT. Values from VASP.

Values from the calculation:
ΔH_f (0 K) in eV per formula unit: 1.326
Space group: Cmc2_1

Cell and atoms, written as Quantum ESPRESSO input:
```
&SYSTEM
  ibrav = 0, nat = 18, ntyp = 4
/
ATOMIC_SPECIES
Th 232.04 Th.upf
Pr 140.91 Pr.upf
Pm 145.00 Pm.upf
Dy 162.50 Dy.upf
CELL_PARAMETERS angstrom
5.7301 0.0000 0.0000
-2.8650 10.3251 0.0000
0.0000 0.0000 10.6315
ATOMIC_POSITIONS crystal
Th 0.8013 0.6025 0.5121
Pr 0.8844 0.7688 0.8158
Pm 0.2950 0.5900 0.7047
Pm 0.2756 0.5511 0.3148
Pm 0.3864 0.7729 0.0246
Pm 0.0153 0.0305 0.0188
Pm 0.4816 0.9632 0.7434
Pr 0.1153 0.2307 0.7317
Pm 0.7050 0.4100 0.2047
Pm 0.7244 0.4489 0.8148
Dy 0.5942 0.1883 0.9580
Pr 0.8847 0.7693 0.2317
Dy 0.4058 0.8117 0.4580
Pm 0.5184 0.0368 0.2434
Pm 0.9847 0.9695 0.5188
Th 0.1987 0.3975 0.0121
Pm 0.6136 0.2271 0.5246
Pr 0.1156 0.2312 0.3158
```

***

Computed, not measured: a geometry-optimized TmHfZr structure at the PBE level of DFT. Values from VASP.

Values from the calculation:
ΔH_f (0 K) in eV per formula unit: 0.341
Space group: P3m1

Cell and atoms, written as Quantum ESPRESSO input:
```
&SYSTEM
  ibrav = 0, nat = 3, ntyp = 3
/
ATOMIC_SPECIES
Tm 168.93 Tm.upf
Zr 91.22 Zr.upf
Hf 178.49 Hf.upf
CELL_PARAMETERS angstrom
3.2632 0.0000 0.0000
-1.6316 2.8260 0.0000
0.0000 0.0000 8.0570
ATOMIC_POSITIONS crystal
Tm 0.3333 0.6667 0.6640
Zr 0.0000 0.0000 0.0137
Hf 0.6667 0.3333 0.3222
```

***

| no. | DFT total energy (eV for the cell shown) | magnetization (μB/cell) | density of states at the Fermi level (states/eV per atom) |
| --- | --- | --- | --- |
| 1 | -12.5 | 1.3 | 0.46 |
| 2 | -40.8 | 0.0 | 0.99 |
| 3 | -11.4 | 0.0 | 0.45 |
| 4 | -75.9 | 0.0 | 0.47 |
| 5 | -16.6 | 1.5 | 1.55 |
| 6 | -60.2 | 0.0 | 0.79 |
| 7 | -15.3 | 0.0 | 0.37 |
| 8 | -30.2 | 0.0 | 0.56 |
| 9 | -15.7 | 0.0 | 0.81 |
| 10 | -33.5 | 2.7 | 1.08 |
| 11 | -88.0 | 0.0 | 1.44 |
| 12 | -22.6 | 0.0 | 1.65 |